[1]
Compound: CaPrHgRh
Source: Alexandria via LeMat-Bulk
Functional: GGA-PBE
Structure: relaxed

```
CaPrHgRh
1.0
-2.516 -4.269 1.509
-2.195 -3.096 -3.527
2.020 -4.673 -0.960
Pr Rh Ca Hg
1 1 1 1
Direct
0.250 0.250 0.250 Pr
0.000 0.000 0.000 Rh
0.750 0.750 0.750 Ca
0.500 0.500 0.500 Hg
```

Calculated values
energy of formation: -0.460 eV per atom

=====

[2]
Compound: Sm2PuPtN4
Source: Alexandria via LeMat-Bulk
Functional: GGA-PBE
Structure: relaxed

```
Sm2PuPtN4
1.0
3.406 0.000 0.000
-1.703 5.841 0.000
0.000 0.000 12.007
N Sm Pu Pt
8 4 2 2
Direct
0.714 0.427 0.866 N
0.714 0.427 0.634 N
0.000 0.000 0.000 N
0.475 0.950 0.750 N
0.525 0.050 0.250 N
0.000 0.000 0.500 N
0.286 0.573 0.366 N
0.286 0.573 0.134 N
0.371 0.742 0.551 Sm
0.629 0.258 0.051 Sm
0.371 0.742 0.949 Sm
0.629 0.258 0.449 Sm
0.116 0.233 0.750 Pu
0.884 0.767 0.250 Pu
0.147 0.295 0.250 Pt
0.853 0.705 0.750 Pt
```

Calculated values
formation energy (no corrections): -6.03 eV/f.u.